# 1
The following is a PBE calculation of a geometry-optimized Tl3RhI structure, from Alexandria via LeMat-Bulk.

Properties
energy above the most stable polymorph in this dataset = 57.4 kJ per mole of atoms
space-group type = I-4m2
mass density = 6.96 g/cm³
E_form (uncorrected) = 0.330 eV per atom
V = 402.1 Å³/cell
crystal system = tetragonal

Unit cell a=5.794 b=5.794 c=12.658 alpha=76.77 beta=76.77 gamma=90.00
Last column: magnetic moment on the atom in μB.
Positions (direct):
Tl1 0.629 0.873 0.254  -0.01
Tl2 0.127 0.883 0.746  -0.01
Tl3 0.688 0.688 0.624  -0.01
Tl4 0.312 0.312 0.376  -0.01
Tl5 0.117 0.873 0.254  -0.01
Tl6 0.127 0.371 0.746  -0.01
I1 0.000 0.000 0.000  0.00
I2 0.250 0.750 0.500  0.00
Rh1 0.801 0.301 0.397  0.73
Rh2 0.699 0.199 0.603  0.73

# 2
The following is a PBE calculation of a geometry-optimized LiNd2Sm3Se6 structure, from Alexandria via LeMat-Bulk.

Properties
space-group type = C2/m
mass density = 6.60 g/cm³
E_form (uncorrected) = -1.790 eV per atom
V = 306.8 Å³/cell
crystal system = monoclinic

Unit cell a=7.224 b=7.224 c=7.221 alpha=99.66 beta=99.66 gamma=120.17
Positions (direct):
Nd1 0.665 0.335 0.000
Nd2 0.335 0.665 0.000
Se1 0.082 0.403 0.247
Se2 0.918 0.597 0.753
Se3 0.763 0.763 0.246
Se4 0.597 0.918 0.753
Se5 0.403 0.082 0.247
Se6 0.237 0.237 0.754
Li1 0.000 0.000 0.000
Sm1 0.832 0.168 0.500
Sm2 0.500 0.500 0.500
Sm3 0.168 0.832 0.500

# 3
The following is a PBE calculation of a geometry-optimized Pm3PrY2 structure, from Alexandria via LeMat-Bulk.

Properties
energy above the most stable polymorph in this dataset = 1.6 kJ per mole of atoms
space-group type = C2/c
mass density = 6.14 g/cm³
V = 407.5 Å³/cell
energy relative to the elements = 0.01 eV/atom
crystal system = monoclinic

Unit cell a=7.265 b=6.293 c=9.625 alpha=89.79 beta=112.17 gamma=90.00
Positions (direct):
Pr1 0.874 0.750 0.000
Pr2 0.126 0.250 0.000
Pm1 0.293 0.583 0.336
Pm2 0.375 0.750 0.000
Pm3 0.707 0.417 0.664
Pm4 0.625 0.250 0.000
Pm5 0.958 0.917 0.664
Pm6 0.042 0.083 0.336
Y1 0.791 0.582 0.335
Y2 0.457 0.918 0.665
Y3 0.543 0.082 0.335
Y4 0.209 0.418 0.665

# 4
The following is a PBE calculation of a geometry-optimized V3CoGe structure, from Alexandria via LeMat-Bulk.

Properties
energy above the most stable polymorph in this dataset = 103.6 kJ per mole of atoms
space-group type = Pm-3m
mass density = 5.37 g/cm³
V = 87.9 Å³/cell
energy relative to the elements = 1.23 eV/atom
crystal system = cubic

Unit cell a=4.446 b=4.446 c=4.446 alpha=90.00 beta=90.00 gamma=90.00
Last column: magnetic moment on the atom in μB.
Positions (direct):
Ge1 0.000 0.000 0.000  -0.01
V1 0.500 0.000 0.000  0.13
V2 0.000 0.000 0.500  0.13
V3 0.000 0.500 0.000  0.13
Co1 0.500 0.500 0.500  1.93

# 5
The following is a PBE calculation of a geometry-optimized BaTa2Be structure, from Alexandria via LeMat-Bulk.

Properties
space-group type = Immm
mass density = 10.08 g/cm³
V = 83.7 Å³/cell
energy relative to the elements = 0.85 eV/atom
crystal system = orthorhombic

Unit cell a=6.306 b=6.306 c=6.306 alpha=152.99 beta=132.31 gamma=55.66
Positions (direct):
Ta1 0.457 0.457 0.000
Ta2 0.043 0.043 0.000
Ba1 0.750 0.250 0.500
Be1 0.250 0.750 0.500

# 6
The following is a PBE calculation of a geometry-optimized Li2ScPdRu structure, from Alexandria via LeMat-Bulk.

Properties
space-group type = P4/mmm
mass density = 4.75 g/cm³
V = 93.2 Å³/cell
energy relative to the elements = 1.15 eV/atom
crystal system = tetragonal

Unit cell a=4.538 b=4.524 c=4.538 alpha=90.00 beta=90.00 gamma=90.00
Last column: magnetic moment on the atom in μB.
Positions (direct):
Ru1 0.500 0.500 0.500  1.61
Pd1 0.000 0.500 0.000  -0.01
Li1 0.000 0.000 0.500  -0.04
Li2 0.500 0.000 0.000  -0.04
Sc1 0.000 0.000 0.000  -0.21

# 7
The following is a PBE calculation of a geometry-optimized LiCa2TlPd structure, from Alexandria via LeMat-Bulk.

Properties
energy above the most stable polymorph in this dataset = 0.0 kJ per mole of atoms
space-group type = P4/mmm
mass density = 4.48 g/cm³
V = 147.5 Å³/cell
energy relative to the elements = -0.28 eV/atom
crystal system = tetragonal

Unit cell a=5.552 b=5.552 c=4.784 alpha=90.00 beta=90.00 gamma=90.00
Positions (direct):
Ca1 0.000 0.500 0.000
Ca2 0.500 0.000 0.000
Li1 0.000 0.000 0.500
Pd1 0.000 0.000 0.000
Tl1 0.500 0.500 0.500

# 8
The following is a PBE calculation of a geometry-optimized CsAl2CdF8 structure, from Alexandria via LeMat-Bulk.

Properties
space-group type = R-3
mass density = 3.18 g/cm³
E_form (uncorrected) = -2.976 eV per atom
V = 235.4 Å³/cell
crystal system = trigonal

Unit cell a=5.761 b=5.761 c=8.838 alpha=70.98 beta=70.98 gamma=60.00
Last column: magnetic moment on the atom in μB.
Positions (direct):
F1 0.018 0.453 0.821  0.01
F2 0.816 0.816 0.551  0.00
F3 0.547 0.292 0.179  0.01
F4 0.184 0.184 0.449  0.00
F5 0.292 0.982 0.179  0.01
F6 0.982 0.547 0.179  0.01
F7 0.708 0.018 0.821  0.01
F8 0.453 0.708 0.821  0.01
Cd1 0.000 0.000 0.000  0.22
Al1 0.747 0.747 0.759  0.00
Al2 0.253 0.253 0.241  0.00
Cs1 0.500 0.500 0.500  0.00

# 9
The following is a PBE calculation of a geometry-optimized Na3Hg2Pd3 structure, from Alexandria via LeMat-Bulk.

Properties
space-group type = R-3m
mass density = 7.48 g/cm³
V = 175.3 Å³/cell
energy relative to the elements = -0.22 eV/atom
crystal system = trigonal

Unit cell a=5.433 b=5.433 c=7.540 alpha=68.88 beta=68.88 gamma=60.00
Positions (direct):
Pd1 0.500 0.000 0.000
Pd2 0.000 0.500 0.000
Pd3 0.500 0.500 0.000
Na1 0.072 0.072 0.785
Na2 0.928 0.928 0.215
Na3 0.500 0.500 0.500
Hg1 0.781 0.781 0.656
Hg2 0.219 0.219 0.344

# 10
The following is a PBE calculation of a geometry-optimized TeWAu2 structure, from Alexandria via LeMat-Bulk.

Properties
space-group type = I-42d
mass density = 14.11 g/cm³
E_form (uncorrected) = 0.682 eV per atom
V = 166.0 Å³/cell
crystal system = tetragonal

Unit cell a=7.844 b=7.844 c=6.168 alpha=50.52 beta=50.52 gamma=90.00
Last column: magnetic moment on the atom in μB.
Positions (direct):
W1 0.000 0.000 0.000  0.69
W2 0.750 0.250 0.500  0.69
Te1 0.250 0.750 0.500  -0.02
Te2 0.500 0.500 0.000  -0.02
Au1 0.642 0.125 0.250  0.01
Au2 0.875 0.892 0.750  0.01
Au3 0.375 0.358 0.750  0.01
Au4 0.108 0.625 0.250  0.01

# 11
The following is a PBE calculation of a geometry-optimized Sb2POs structure, from Alexandria via LeMat-Bulk.

Properties
space-group type = Amm2
mass density = 9.29 g/cm³
E_form (uncorrected) = 0.173 eV per atom
V = 83.1 Å³/cell
crystal system = orthorhombic

Unit cell a=4.532 b=4.532 c=4.343 alpha=90.00 beta=90.00 gamma=111.31
Positions (direct):
Os1 0.450 0.550 0.000
Sb1 0.681 0.319 0.500
Sb2 0.062 0.938 0.000
P1 0.309 0.691 0.500

# 12
The following is a PBE calculation of a geometry-optimized Tc2MoOs2 structure, from Alexandria via LeMat-Bulk.

Properties
energy above the most stable polymorph in this dataset = 0.0 kJ per mole of atoms
space-group type = P4/mbm
mass density = 14.51 g/cm³
V = 153.9 Å³/cell
energy relative to the elements = 0.21 eV/atom
crystal system = tetragonal

Unit cell a=7.444 b=7.444 c=2.778 alpha=90.00 beta=90.00 gamma=90.00
Positions (direct):
Os1 0.125 0.375 0.000
Os2 0.625 0.125 0.000
Os3 0.375 0.875 0.000
Os4 0.875 0.625 0.000
Tc1 0.830 0.330 0.500
Tc2 0.330 0.170 0.500
Tc3 0.670 0.830 0.500
Tc4 0.170 0.670 0.500
Mo1 0.500 0.500 0.000
Mo2 0.000 0.000 0.000

# 13
The following is a PBE calculation of a geometry-optimized Ni2Pt3Rh3 structure, from Alexandria via LeMat-Bulk.

Properties
space-group type = Pmmm
mass density = 14.89 g/cm³
V = 112.8 Å³/cell
energy relative to the elements = -0.04 eV/atom
crystal system = orthorhombic

Unit cell a=3.827 b=3.833 c=7.691 alpha=90.00 beta=90.00 gamma=90.00
Last column: magnetic moment on the atom in μB.
Positions (direct):
Rh1 0.000 0.500 0.000  0.31
Rh2 0.000 0.500 0.500  0.41
Rh3 0.500 0.000 0.500  0.43
Pt1 0.500 0.500 0.253  0.14
Pt2 0.500 0.000 0.000  0.10
Pt3 0.500 0.500 0.747  0.14
Ni1 0.000 0.000 0.746  0.81
Ni2 0.000 0.000 0.254  0.81

# 14
The following is a PBE calculation of a geometry-optimized LaOs3Ru structure, from Alexandria via LeMat-Bulk.

Properties
space-group type = Pm-3m
mass density = 12.68 g/cm³
V = 106.2 Å³/cell
energy relative to the elements = 3.20 eV/atom
crystal system = cubic

Unit cell a=4.735 b=4.735 c=4.735 alpha=90.00 beta=90.00 gamma=90.00
Positions (direct):
Os1 0.000 0.500 0.000
Os2 0.000 0.000 0.500
Os3 0.500 0.000 0.000
La1 0.000 0.000 0.000
Ru1 0.500 0.500 0.500

# 15
The following is a PBE calculation of a geometry-optimized Ac5La2Pr4 structure, from Alexandria via LeMat-Bulk.

Properties
energy above the most stable polymorph in this dataset = 3.4 kJ per mole of atoms
space-group type = Immm
mass density = 7.13 g/cm³
V = 460.6 Å³/cell
energy relative to the elements = 0.16 eV/atom
crystal system = orthorhombic

Unit cell a=3.787 b=9.990 c=13.295 alpha=112.07 beta=98.19 gamma=90.00
Positions (direct):
Ac1 0.500 0.000 0.000
Ac2 0.853 0.056 0.706
Ac3 0.853 0.650 0.706
Ac4 0.147 0.350 0.294
Ac5 0.147 0.944 0.294
Pr1 0.000 0.307 0.000
Pr2 0.000 0.693 0.000
Pr3 0.407 0.407 0.814
Pr4 0.593 0.593 0.186
La1 0.272 0.272 0.544
La2 0.728 0.728 0.456

# 16
The following is a PBE calculation of a geometry-optimized AlAgBr2 structure, from Alexandria via LeMat-Bulk.

Properties
energy above the most stable polymorph in this dataset = 26.7 kJ per mole of atoms
space-group type = C2/m
mass density = 4.39 g/cm³
E_form (uncorrected) = -0.205 eV per atom
V = 111.3 Å³/cell
crystal system = monoclinic

Unit cell a=4.298 b=4.298 c=7.400 alpha=72.94 beta=72.94 gamma=59.98
Positions (direct):
Br1 0.009 0.009 0.977
Br2 0.491 0.491 0.523
Al1 0.250 0.250 0.250
Ag1 0.750 0.750 0.750

# 17
The following is a PBE calculation of a geometry-optimized SiMo2Au structure, from Alexandria via LeMat-Bulk.

Properties
space-group type = I-42d
mass density = 10.35 g/cm³
E_form (uncorrected) = 0.391 eV per atom
V = 133.8 Å³/cell
crystal system = tetragonal

Unit cell a=7.132 b=7.132 c=5.688 alpha=51.17 beta=51.17 gamma=90.00
Positions (direct):
Mo1 0.161 0.625 0.250
Mo2 0.375 0.411 0.750
Mo3 0.589 0.125 0.250
Mo4 0.875 0.839 0.750
Si1 0.250 0.750 0.500
Si2 0.500 0.500 0.000
Au1 0.750 0.250 0.500
Au2 0.000 0.000 0.000

# 18
The following is a PBE calculation of a geometry-optimized AcPr2Dy2Y2 structure, from Alexandria via LeMat-Bulk.

Properties
space-group type = C2/m
mass density = 6.88 g/cm³
V = 244.1 Å³/cell
energy relative to the elements = 0.04 eV/atom
crystal system = monoclinic

Unit cell a=5.189 b=6.365 c=8.185 alpha=97.79 beta=90.00 gamma=114.05
Positions (direct):
Dy1 0.426 0.853 0.294
Dy2 0.574 0.147 0.706
Pr1 0.285 0.569 0.850
Pr2 0.715 0.431 0.150
Y1 0.142 0.284 0.433
Y2 0.858 0.716 0.567
Ac1 0.000 0.000 0.000

# 19
The following is a PBE calculation of a geometry-optimized Sr3ErMg4 structure, from Alexandria via LeMat-Bulk.

Properties
space-group type = P4/mmm
mass density = 3.24 g/cm³
V = 270.5 Å³/cell
energy relative to the elements = -0.04 eV/atom
crystal system = tetragonal

Unit cell a=4.011 b=4.011 c=16.813 alpha=90.00 beta=90.00 gamma=90.00
Positions (direct):
Er1 0.500 0.500 0.000
Mg1 0.000 0.000 0.101
Mg2 0.000 0.000 0.899
Mg3 0.000 0.000 0.633
Mg4 0.000 0.000 0.367
Sr1 0.500 0.500 0.235
Sr2 0.500 0.500 0.765
Sr3 0.500 0.500 0.500

# 20
The following is a PBE calculation of a geometry-optimized NiHg2GeBi structure, from Alexandria via LeMat-Bulk.

Properties
space-group type = P4/mmm
mass density = 9.72 g/cm³
V = 126.6 Å³/cell
energy relative to the elements = 0.37 eV/atom
crystal system = tetragonal

Unit cell a=4.992 b=5.081 c=4.992 alpha=90.00 beta=90.00 gamma=90.00
Positions (direct):
Hg1 0.500 0.000 0.000
Hg2 0.000 0.000 0.500
Ge1 0.500 0.500 0.500
Bi1 0.000 0.500 0.000
Ni1 0.000 0.000 0.000

# 21
The following is a PBE calculation of a geometry-optimized Cd2Ag5Au2 structure, from Alexandria via LeMat-Bulk.

Properties
energy above the most stable polymorph in this dataset = 4.1 kJ per mole of atoms
space-group type = C2
mass density = 11.32 g/cm³
V = 339.8 Å³/cell
energy relative to the elements = -0.02 eV/atom
crystal system = monoclinic

Unit cell a=4.813 b=8.213 c=9.813 alpha=114.74 beta=103.89 gamma=90.00
Positions (direct):
Ag1 0.167 0.037 0.334
Ag2 0.667 0.537 0.334
Ag3 0.415 0.619 0.832
Ag4 0.333 0.203 0.666
Ag5 0.585 0.787 0.168
Ag6 0.917 0.119 0.832
Ag7 0.750 0.288 0.500
Ag8 0.083 0.287 0.168
Ag9 0.250 0.788 0.500
Ag10 0.833 0.703 0.666
Au1 0.914 0.454 0.831
Au2 0.086 0.623 0.169
Au3 0.416 0.954 0.831
Au4 0.584 0.123 0.169
Cd1 0.250 0.453 0.500
Cd2 0.750 0.953 0.500
Cd3 0.000 0.870 0.000
Cd4 0.500 0.370 0.000

# 22
The following is a PBE calculation of a geometry-optimized AlZn6Ag6 structure, from Alexandria via LeMat-Bulk.

Properties
space-group type = P6/mmm
mass density = 8.11 g/cm³
V = 218.4 Å³/cell
energy relative to the elements = 0.03 eV/atom
crystal system = hexagonal

Unit cell a=5.079 b=5.079 c=9.776 alpha=90.00 beta=90.00 gamma=120.00
Positions (direct):
Ag1 0.000 0.000 0.641
Ag2 0.333 0.667 0.500
Ag3 0.333 0.667 0.000
Ag4 0.667 0.333 0.000
Ag5 0.667 0.333 0.500
Ag6 0.000 0.000 0.359
Al1 0.000 0.000 0.000
Zn1 0.000 0.500 0.753
Zn2 0.500 0.000 0.753
Zn3 0.500 0.500 0.247
Zn4 0.000 0.500 0.247
Zn5 0.500 0.000 0.247
Zn6 0.500 0.500 0.753

# 23
The following is a PBE calculation of a geometry-optimized PrSm2Dy4Mg structure, from Alexandria via LeMat-Bulk.

Properties
space-group type = P4/mmm
mass density = 7.27 g/cm³
V = 254.9 Å³/cell
energy relative to the elements = 0.11 eV/atom
crystal system = tetragonal

Unit cell a=5.665 b=9.756 c=5.660 alpha=54.58 beta=90.00 gamma=90.00
Last column: magnetic moment on the atom in μB.
Positions (direct):
Dy1 0.000 0.266 0.234  0.18
Dy2 0.500 0.734 0.267  0.17
Dy3 0.000 0.734 0.766  0.18
Dy4 0.500 0.266 0.733  0.17
Sm1 0.000 0.000 0.000  0.11
Sm2 0.500 0.000 0.500  0.08
Pr1 0.500 0.500 0.000  0.24
Mg1 0.000 0.500 0.500  0.00

# 24
The following is a PBE calculation of a geometry-optimized Ho6Mg2Ag structure, from Alexandria via LeMat-Bulk.

Properties
space-group type = P2_1/c
mass density = 7.34 g/cm³
V = 518.9 Å³/cell
energy relative to the elements = 0.05 eV/atom
crystal system = monoclinic

Unit cell a=6.219 b=9.385 c=9.013 alpha=90.00 beta=80.54 gamma=90.00
Positions (direct):
Ho1 0.377 0.536 0.694
Ho2 0.423 0.814 0.442
Ho3 0.592 0.170 0.965
Ho4 0.092 0.330 0.465
Ho5 0.123 0.036 0.806
Ho6 0.077 0.314 0.058
Ho7 0.877 0.964 0.194
Ho8 0.408 0.830 0.035
Ho9 0.908 0.670 0.535
Ho10 0.923 0.686 0.942
Ho11 0.577 0.186 0.558
Ho12 0.623 0.464 0.306
Mg1 0.349 0.099 0.272
Mg2 0.849 0.401 0.772
Mg3 0.651 0.901 0.728
Mg4 0.151 0.599 0.228
Ag1 0.500 0.500 0.000
Ag2 0.000 0.000 0.500